The following is a GGA-PBE calculation of a geometry-optimized Pr12NdTl4O3 structure, from Alexandria via LeMat-Bulk.

Computed properties:
N(E_F) = 20.772 states/eV/cell
Volume = 559.9 Å³ per cell
Uncorrected formation energy = -1423 kJ/mol of formula units
Total energy = -5.060 eV/atom

a = 8.9933 Å, b = 8.9933 Å, c = 8.9933 Å
α = 109.47°, β = 109.47°, γ = 109.47°
With the nearest neighbours (Å) after each atom.
Atoms (fractional coordinates):
Pr 0.2500 0.5000 0.7500  2 O 2.60
Pr 0.7271 0.0000 0.7271  1 O 2.36
Pr 0.2729 0.0000 0.2729  1 O 2.36
Pr 0.7500 0.5000 0.2500  2 O 2.60
Pr 0.7271 0.7271 0.0000  1 O 2.36
Pr 0.2729 0.2729 0.0000  1 O 2.36
Pr 0.7500 0.2500 0.5000  2 O 2.60
Pr 0.2500 0.7500 0.5000  2 O 2.60
Pr 0.5000 0.2500 0.7500  2 O 2.60
Pr 0.0000 0.7271 0.7271  1 O 2.36
Pr 0.5000 0.7500 0.2500  2 O 2.60
Pr 0.0000 0.2729 0.2729  1 O 2.36
Nd 0.0000 0.0000 0.0000  6 Pr 2.83
Tl 0.5000 0.5000 0.5000  12 Pr 3.67-3.68
Tl 0.0000 0.0000 0.5000  12 Pr 3.67-3.68
Tl 0.5000 0.0000 0.0000  12 Pr 3.67-3.68
Tl 0.0000 0.5000 0.0000  12 Pr 3.67-3.68
O 0.5000 0.0000 0.5000  6 Pr 2.36-2.60
O 0.5000 0.5000 0.0000  6 Pr 2.36-2.60
O 0.0000 0.5000 0.5000  6 Pr 2.36-2.60

The following is a GGA-PBE calculation of a geometry-optimized PrNdUO6 structure, from Alexandria via LeMat-Bulk.

Computed properties:
N(E_F) = 0.000 states/eV/cell
Volume = 298.1 Å³ per cell
Uncorrected formation energy = -2823 kJ/mol of formula units
Total energy = -8.872 eV/atom

a = 5.9782 Å, b = 5.9782 Å, c = 9.6305 Å
α = 90.00°, β = 90.00°, γ = 120.00°
With the nearest neighbours (Å) after each atom.
Atoms (fractional coordinates):
Pr 0.0000 0.0000 0.0000  6 O 2.47
Pr 0.0000 0.0000 0.5000  6 O 2.47
Nd 0.3333 0.6667 0.2500  6 O 2.38
Nd 0.6667 0.3333 0.7500  6 O 2.38
U 0.6667 0.3333 0.2500  6 O 2.10
U 0.3333 0.6667 0.7500  6 O 2.10
O 0.6689 0.6340 0.1358  1 U 2.10
O 0.9652 0.3311 0.1358  1 U 2.10
O 0.3311 0.9652 0.6358  1 U 2.10
O 0.0348 0.6689 0.8642  1 U 2.10
O 0.3660 0.3311 0.3642  1 U 2.10
O 0.9652 0.6340 0.3642  1 U 2.10
O 0.6340 0.9652 0.8642  1 U 2.10
O 0.6689 0.0348 0.3642  1 U 2.10
O 0.0348 0.3660 0.6358  1 U 2.10
O 0.3660 0.0348 0.1358  1 U 2.10
O 0.6340 0.6689 0.6358  1 U 2.10
O 0.3311 0.3660 0.8642  1 U 2.10